AlIn2GeB: relaxed, PBE.

Cell and atoms, written as CIF:
```
data_AlIn2GeB
_chemical_formula_sum 'Al1 In2 Ge1 B1'
_symmetry_space_group_name_H-M 'P 1'
_symmetry_Int_Tables_number 1
_cell_length_a 5.7396
_cell_length_b 5.7396
_cell_length_c 3.6760
_cell_angle_alpha 90.00
_cell_angle_beta 90.00
_cell_angle_gamma 90.00
loop_
_symmetry_equiv_pos_as_xyz
'x,y,z'
loop_
_atom_site_label
_atom_site_type_symbol
_atom_site_fract_x
_atom_site_fract_y
_atom_site_fract_z
Al1 Al 0.0000 0.0000 0.0000
In1 In 0.0000 0.5000 0.5000
In2 In 0.5000 0.0000 0.5000
Ge1 Ge 0.5000 0.5000 0.5000
B1 B 0.5000 0.5000 0.0000
```

Values from the calculation:
E_form ... 4.140 eV per formula unit
Space group ... P4/mmm, No. 123
Fermi-level density of states ... 1.93 states/eV/cell

---

AlGe2B2Ir5: relaxed, PBE.

Cell and atoms, written as CIF:
```
data_AlGe2B2Ir5
_chemical_formula_sum 'Al2 Ge4 B4 Ir10'
_symmetry_space_group_name_H-M 'P 1'
_symmetry_Int_Tables_number 1
_cell_length_a 9.5830
_cell_length_b 9.5830
_cell_length_c 2.9264
_cell_angle_alpha 90.00
_cell_angle_beta 90.00
_cell_angle_gamma 90.00
loop_
_symmetry_equiv_pos_as_xyz
'x,y,z'
loop_
_atom_site_label
_atom_site_type_symbol
_atom_site_fract_x
_atom_site_fract_y
_atom_site_fract_z
Al1 Al 0.0000 0.0000 0.0000
Al2 Al 0.5000 0.5000 0.0000
Ge1 Ge 0.1799 0.3201 0.0000
Ge2 Ge 0.3201 0.8201 0.0000
Ge3 Ge 0.6799 0.1799 0.0000
Ge4 Ge 0.8201 0.6799 0.0000
B1 B 0.1249 0.6249 0.0000
B2 B 0.3751 0.1249 0.0000
B3 B 0.6249 0.8751 0.0000
B4 B 0.8751 0.3751 0.0000
Ir1 Ir 0.0000 0.5000 0.5000
Ir2 Ir 0.0802 0.7901 0.5000
Ir3 Ir 0.2099 0.0802 0.5000
Ir4 Ir 0.2901 0.5802 0.5000
Ir5 Ir 0.4198 0.2901 0.5000
Ir6 Ir 0.5000 0.0000 0.5000
Ir7 Ir 0.5802 0.7099 0.5000
Ir8 Ir 0.7099 0.4198 0.5000
Ir9 Ir 0.7901 0.9198 0.5000
Ir10 Ir 0.9198 0.2099 0.5000
```

Values from the calculation:
E_form ... -1.664 eV per formula unit
Space group ... P4/mbm, No. 127
Fermi-level density of states ... 5.63 states/eV/cell

---

Al2GeBO: relaxed, PBE.

Cell and atoms, written as CIF:
```
data_Al2GeBO
_chemical_formula_sum 'Al2 Ge1 B1 O1'
_symmetry_space_group_name_H-M 'P 1'
_symmetry_Int_Tables_number 1
_cell_length_a 4.9729
_cell_length_b 4.9729
_cell_length_c 3.6521
_cell_angle_alpha 90.00
_cell_angle_beta 90.00
_cell_angle_gamma 90.00
loop_
_symmetry_equiv_pos_as_xyz
'x,y,z'
loop_
_atom_site_label
_atom_site_type_symbol
_atom_site_fract_x
_atom_site_fract_y
_atom_site_fract_z
Al1 Al 0.0000 0.5000 0.0000
Al2 Al 0.5000 0.0000 0.0000
Ge1 Ge 0.0000 0.0000 0.0000
B1 B 0.5000 0.5000 0.5000
O1 O 0.0000 0.0000 0.5000
```

Values from the calculation:
Formation energy without anion corrections ... 0.905 eV per atom
Space group ... P4/mmm, No. 123
Fermi-level density of states ... 2.64 states/eV/cell

---

Al2GeBOs: relaxed, PBE.

Cell and atoms, written as CIF:
```
data_Al2GeBOs
_chemical_formula_sum 'Al2 Ge1 B1 Os1'
_symmetry_space_group_name_H-M 'P 1'
_symmetry_Int_Tables_number 1
_cell_length_a 4.7943
_cell_length_b 4.7943
_cell_length_c 4.0779
_cell_angle_alpha 90.00
_cell_angle_beta 90.00
_cell_angle_gamma 90.00
loop_
_symmetry_equiv_pos_as_xyz
'x,y,z'
loop_
_atom_site_label
_atom_site_type_symbol
_atom_site_fract_x
_atom_site_fract_y
_atom_site_fract_z
Al1 Al 0.0000 0.5000 0.0000
Al2 Al 0.5000 0.0000 0.0000
Ge1 Ge 0.0000 0.0000 0.5000
B1 B 0.5000 0.5000 0.5000
Os1 Os 0.5000 0.5000 0.0000
```

Values from the calculation:
E_form ... 2.655 eV per formula unit
Space group ... P4/mmm, No. 123
Fermi-level density of states ... 3.46 states/eV/cell

---

AlGeB2Pd: relaxed, PBE.

Cell and atoms, written as CIF:
```
data_AlGeB2Pd
_chemical_formula_sum 'Al1 Ge1 B2 Pd1'
_symmetry_space_group_name_H-M 'P 1'
_symmetry_Int_Tables_number 1
_cell_length_a 3.9913
_cell_length_b 3.9913
_cell_length_c 5.5119
_cell_angle_alpha 90.00
_cell_angle_beta 90.00
_cell_angle_gamma 90.00
loop_
_symmetry_equiv_pos_as_xyz
'x,y,z'
loop_
_atom_site_label
_atom_site_type_symbol
_atom_site_fract_x
_atom_site_fract_y
_atom_site_fract_z
Al1 Al 0.0000 0.0000 0.0000
Ge1 Ge 0.5000 0.5000 0.0000
B1 B 0.0000 0.5000 0.5000
B2 B 0.5000 0.0000 0.5000
Pd1 Pd 0.5000 0.5000 0.5000
```

Values from the calculation:
E_form ... 4.783 eV per formula unit
Space group ... P4/mmm, No. 123
Fermi-level density of states ... 2.06 states/eV/cell

---

AlGeB2Rh: relaxed, PBE.

Cell and atoms, written as CIF:
```
data_AlGeB2Rh
_chemical_formula_sum 'Al1 Ge1 B2 Rh1'
_symmetry_space_group_name_H-M 'P 1'
_symmetry_Int_Tables_number 1
_cell_length_a 3.9254
_cell_length_b 3.9254
_cell_length_c 5.1291
_cell_angle_alpha 90.00
_cell_angle_beta 90.00
_cell_angle_gamma 90.00
loop_
_symmetry_equiv_pos_as_xyz
'x,y,z'
loop_
_atom_site_label
_atom_site_type_symbol
_atom_site_fract_x
_atom_site_fract_y
_atom_site_fract_z
Al1 Al 0.0000 0.0000 0.0000
Ge1 Ge 0.0000 0.0000 0.5000
B1 B 0.0000 0.5000 0.5000
B2 B 0.5000 0.0000 0.5000
Rh1 Rh 0.5000 0.5000 0.0000
```

Values from the calculation:
E_form ... 7.505 eV per formula unit
Space group ... P4/mmm, No. 123
Fermi-level density of states ... 3.38 states/eV/cell

---

AlSn2GeB: relaxed, PBE.

Cell and atoms, written as CIF:
```
data_AlSn2GeB
_chemical_formula_sum 'Al1 Sn2 Ge1 B1'
_symmetry_space_group_name_H-M 'P 1'
_symmetry_Int_Tables_number 1
_cell_length_a 5.2576
_cell_length_b 5.2576
_cell_length_c 4.8062
_cell_angle_alpha 90.00
_cell_angle_beta 90.00
_cell_angle_gamma 90.00
loop_
_symmetry_equiv_pos_as_xyz
'x,y,z'
loop_
_atom_site_label
_atom_site_type_symbol
_atom_site_fract_x
_atom_site_fract_y
_atom_site_fract_z
Al1 Al 0.0000 0.0000 0.0000
Sn1 Sn 0.0000 0.5000 0.0000
Sn2 Sn 0.5000 0.0000 0.0000
Ge1 Ge 0.0000 0.0000 0.5000
B1 B 0.5000 0.5000 0.5000
```

Values from the calculation:
E_form ... 6.687 eV per formula unit
Space group ... P4/mmm, No. 123
Fermi-level density of states ... 4.12 states/eV/cell

---

ZrAlGe2B: relaxed, PBE.

Cell and atoms, written as CIF:
```
data_ZrAlGe2B
_chemical_formula_sum 'Zr1 Al1 Ge2 B1'
_symmetry_space_group_name_H-M 'P 1'
_symmetry_Int_Tables_number 1
_cell_length_a 4.6770
_cell_length_b 4.6770
_cell_length_c 3.9382
_cell_angle_alpha 90.00
_cell_angle_beta 90.00
_cell_angle_gamma 90.00
loop_
_symmetry_equiv_pos_as_xyz
'x,y,z'
loop_
_atom_site_label
_atom_site_type_symbol
_atom_site_fract_x
_atom_site_fract_y
_atom_site_fract_z
Zr1 Zr 0.0000 0.0000 0.0000
Al1 Al 0.5000 0.5000 0.0000
Ge1 Ge 0.0000 0.5000 0.5000
Ge2 Ge 0.5000 0.0000 0.5000
B1 B 0.5000 0.5000 0.5000
```

Values from the calculation:
E_form ... 2.185 eV per formula unit
Space group ... P4/mmm, No. 123
Fermi-level density of states ... 3.21 states/eV/cell